Below is a geometry-optimized BaTbPd structure, with properties calculated at the PBE level.

CIF file:
```
data_BaTbPd
_chemical_formula_sum 'Ba8 Tb8 Pd8'
_cell_length_a 22.822
_cell_length_b 5.218
_cell_length_c 7.814
_cell_angle_alpha 90.00
_cell_angle_beta 94.09
_cell_angle_gamma 90.00
_symmetry_space_group_name_H-M 'C 1 2/m 1'
_symmetry_Int_Tables_number 12
loop_
_symmetry_equiv_pos_as_xyz
'x,y,z'
'-x,-y,-z'
'-x,y,-z'
'x,-y,z'
'x+1/2,y+1/2,z'
'-x+1/2,-y+1/2,-z'
'-x+1/2,y+1/2,-z'
'x+1/2,-y+1/2,z'
loop_
_atom_site_label
_atom_site_type_symbol
_atom_site_fract_x
_atom_site_fract_y
_atom_site_fract_z
_atom_site_occupancy
Ba1 Ba 0.083 0.000 0.294 1
Ba2 Ba 0.090 0.500 0.820 1
Tb1 Tb 0.214 0.000 0.610 1
Tb2 Tb 0.237 0.000 0.134 1
Pd1 Pd 0.174 0.500 0.514 1
Pd2 Pd 0.185 0.500 0.151 1
```

## Properties
- Mass density: 5763 kg/m³
- Relative energy among the computed polymorphs: 0 meV per atom
- Volume: 38.67 Å³/atom
- Magnetic moment: 0.01 μB per formula unit


Below is a geometry-optimized CsRh structure, with properties calculated at the PBE level.

CIF file:
```
data_CsRh
_chemical_formula_sum 'Cs16 Rh16'
_cell_length_a 6.544
_cell_length_b 10.157
_cell_length_c 14.923
_cell_angle_alpha 90.00
_cell_angle_beta 90.00
_cell_angle_gamma 90.00
_symmetry_space_group_name_H-M 'F d d d'
_symmetry_Int_Tables_number 70
loop_
_symmetry_equiv_pos_as_xyz
'x,y,z'
'-x,-y,-z'
'-x+1/4,-y+1/4,z'
'x+1/4,y+1/4,-z'
'x,-y+1/4,-z+1/4'
'-x,y+1/4,z+1/4'
'-x+1/4,y,-z+1/4'
'x+1/4,-y,z+1/4'
'x,y+1/2,z+1/2'
'-x,-y+1/2,-z+1/2'
'-x+1/4,-y+3/4,z+1/2'
'x+1/4,y+3/4,-z+1/2'
'x,-y+3/4,-z+3/4'
'-x,y+3/4,z+3/4'
'-x+1/4,y+1/2,-z+3/4'
'x+1/4,-y+1/2,z+3/4'
'x+1/2,y,z+1/2'
'-x+1/2,-y,-z+1/2'
'-x+3/4,-y+1/4,z+1/2'
'x+3/4,y+1/4,-z+1/2'
'x+1/2,-y+1/4,-z+3/4'
'-x+1/2,y+1/4,z+3/4'
'-x+3/4,y,-z+3/4'
'x+3/4,-y,z+3/4'
'x+1/2,y+1/2,z'
'-x+1/2,-y+1/2,-z'
'-x+3/4,-y+3/4,z'
'x+3/4,y+3/4,-z'
'x+1/2,-y+3/4,-z+1/4'
'-x+1/2,y+3/4,z+1/4'
'-x+3/4,y+1/2,-z+1/4'
'x+3/4,-y+1/2,z+1/4'
loop_
_atom_site_label
_atom_site_type_symbol
_atom_site_fract_x
_atom_site_fract_y
_atom_site_fract_z
_atom_site_occupancy
Cs1 Cs 0.125 0.296 0.125 1
Rh1 Rh 0.125 0.125 0.543 1
```

## Properties
- Mass density: 6317 kg/m³
- E: -3.273 eV per atom
- Volume: 31.00 Å³/atom
- Magnetic moment: 0.82 μB per formula unit